[1]
# LiTlSb (PBE, relaxed)
# Density (g cm⁻³): 6.8
# DOS(E_F) (states/eV per cell): 0.8
# Excess energy over the best structure of this formula in the dataset (eV/atom): 0.007
data_LiTlSb
_cell_length_a 5.0233
_cell_length_b 5.1601
_cell_length_c 6.8248
_cell_angle_alpha 76.77
_cell_angle_beta 72.63
_cell_angle_gamma 78.70
_space_group_name_H-M_alt 'P 1'
_space_group_IT_number 1
loop_
_space_group_symop_operation_xyz
'x,y,z'
loop_
_atom_site_label
_atom_site_type_symbol
_atom_site_fract_x
_atom_site_fract_y
_atom_site_fract_z
Li1 Li 0.2219 0.1708 0.4758
Li2 Li 0.7781 0.8292 0.5242
Tl1 Tl 0.2576 0.7864 0.1190
Tl2 Tl 0.7424 0.2136 0.8810
Sb1 Sb 0.2701 0.6057 0.6705
Sb2 Sb 0.7299 0.3943 0.3295


[2]
# LiTl2Sb (PBE, relaxed)
# Density (g cm⁻³): 8.6
# DOS(E_F) (states/eV per cell): 1.5
# Excess energy over the best structure of this formula in the dataset (eV/atom): 0.048
data_LiTl2Sb
_cell_length_a 3.4090
_cell_length_b 3.4090
_cell_length_c 8.9708
_cell_angle_alpha 90.00
_cell_angle_beta 90.00
_cell_angle_gamma 90.00
_space_group_name_H-M_alt 'P 1'
_space_group_IT_number 1
loop_
_space_group_symop_operation_xyz
'x,y,z'
loop_
_atom_site_label
_atom_site_type_symbol
_atom_site_fract_x
_atom_site_fract_y
_atom_site_fract_z
Li1 Li 0.0000 0.0000 0.0000
Tl1 Tl 0.0000 0.0000 0.4817
Tl2 Tl 0.5000 0.5000 0.7804
Sb1 Sb 0.5000 0.5000 0.1911


[3]
# LiTl2Sb (PBE, relaxed)
# Density (g cm⁻³): 8.2
# DOS(E_F) (states/eV per cell): 1.1
# Excess energy over the best structure of this formula in the dataset (eV/atom): 0.089
data_LiTl2Sb
_cell_length_a 6.5192
_cell_length_b 6.5192
_cell_length_c 6.5192
_cell_angle_alpha 148.19
_cell_angle_beta 131.12
_cell_angle_gamma 59.50
_space_group_name_H-M_alt 'P 1'
_space_group_IT_number 1
loop_
_space_group_symop_operation_xyz
'x,y,z'
loop_
_atom_site_label
_atom_site_type_symbol
_atom_site_fract_x
_atom_site_fract_y
_atom_site_fract_z
Li1 Li 0.0000 0.0000 0.0000
Tl1 Tl 0.2497 0.7497 0.5000
Tl2 Tl 0.7503 0.2503 0.5000
Sb1 Sb 0.5000 0.5000 0.0000


[4]
# LiTl2Sb (PBE, relaxed)
# Density (g cm⁻³): 8.0
# DOS(E_F) (states/eV per cell): 1.8
# Excess energy over the best structure of this formula in the dataset (eV/atom): 0.122
data_LiTl2Sb
_cell_length_a 6.1535
_cell_length_b 6.1535
_cell_length_c 3.3736
_cell_angle_alpha 90.00
_cell_angle_beta 90.00
_cell_angle_gamma 119.63
_space_group_name_H-M_alt 'P 1'
_space_group_IT_number 1
loop_
_space_group_symop_operation_xyz
'x,y,z'
loop_
_atom_site_label
_atom_site_type_symbol
_atom_site_fract_x
_atom_site_fract_y
_atom_site_fract_z
Li1 Li 0.0000 0.0000 0.0000
Tl1 Tl 0.0000 0.5000 0.5000
Tl2 Tl 0.5000 0.0000 0.5000
Sb1 Sb 0.5000 0.5000 0.0000


[5]
# LiTlSb2 (PBE, relaxed)
# Density (g cm⁻³): 6.8
# DOS(E_F) (states/eV per cell): 1.2
# Excess energy over the best structure of this formula in the dataset (eV/atom): 0.108
data_LiTlSb2
_cell_length_a 3.3037
_cell_length_b 5.3794
_cell_length_c 6.2432
_cell_angle_alpha 90.00
_cell_angle_beta 90.10
_cell_angle_gamma 90.00
_space_group_name_H-M_alt 'P 1'
_space_group_IT_number 1
loop_
_space_group_symop_operation_xyz
'x,y,z'
loop_
_atom_site_label
_atom_site_type_symbol
_atom_site_fract_x
_atom_site_fract_y
_atom_site_fract_z
Li1 Li 0.0000 0.0000 0.0000
Tl1 Tl 0.0045 0.5000 0.6463
Sb1 Sb 0.5029 0.0000 0.3980
Sb2 Sb 0.5026 0.5000 0.1420


[6]
# LiTlSb (PBE, relaxed)
# Density (g cm⁻³): 7.1
# DOS(E_F) (states/eV per cell): 2.4
# Excess energy over the best structure of this formula in the dataset (eV/atom): 0.001
data_LiTlSb
_cell_length_a 3.4214
_cell_length_b 4.1863
_cell_length_c 10.9325
_cell_angle_alpha 90.00
_cell_angle_beta 90.09
_cell_angle_gamma 90.00
_space_group_name_H-M_alt 'P 1'
_space_group_IT_number 1
loop_
_space_group_symop_operation_xyz
'x,y,z'
loop_
_atom_site_label
_atom_site_type_symbol
_atom_site_fract_x
_atom_site_fract_y
_atom_site_fract_z
Li1 Li 0.2493 0.2500 0.4248
Li2 Li 0.7507 0.7500 0.5752
Tl1 Tl 0.2479 0.2500 0.1250
Tl2 Tl 0.7521 0.7500 0.8750
Sb1 Sb 0.2513 0.2500 0.6896
Sb2 Sb 0.7487 0.7500 0.3104


[7]
# LiTl2Sb (PBE, relaxed)
# Density (g cm⁻³): 8.1
# DOS(E_F) (states/eV per cell): 1.7
# Excess energy over the best structure of this formula in the dataset (eV/atom): 0.055
data_LiTl2Sb
_cell_length_a 3.4066
_cell_length_b 4.1688
_cell_length_c 7.7403
_cell_angle_alpha 90.00
_cell_angle_beta 90.00
_cell_angle_gamma 90.00
_space_group_name_H-M_alt 'P 1'
_space_group_IT_number 1
loop_
_space_group_symop_operation_xyz
'x,y,z'
loop_
_atom_site_label
_atom_site_type_symbol
_atom_site_fract_x
_atom_site_fract_y
_atom_site_fract_z
Li1 Li 0.0000 0.0000 0.0000
Tl1 Tl 0.0000 0.0000 0.4236
Tl2 Tl 0.5000 0.5000 0.7325
Sb1 Sb 0.5000 0.5000 0.1525


[8]
# LiTlSb (PBE, relaxed)
# Density (g cm⁻³): 6.7
# DOS(E_F) (states/eV per cell): 1.6
# Excess energy over the best structure of this formula in the dataset (eV/atom): 0.000
data_LiTlSb
_cell_length_a 4.4440
_cell_length_b 4.9941
_cell_length_c 8.4334
_cell_angle_alpha 98.45
_cell_angle_beta 90.02
_cell_angle_gamma 116.14
_space_group_name_H-M_alt 'P 1'
_space_group_IT_number 1
loop_
_space_group_symop_operation_xyz
'x,y,z'
loop_
_atom_site_label
_atom_site_type_symbol
_atom_site_fract_x
_atom_site_fract_y
_atom_site_fract_z
Li1 Li 0.1526 0.3070 0.0675
Li2 Li 0.8474 0.6930 0.9325
Tl1 Tl 0.1786 0.3553 0.6279
Tl2 Tl 0.8214 0.6447 0.3721
Sb1 Sb 0.4724 0.9471 0.1679
Sb2 Sb 0.5276 0.0529 0.8321


[9]
# LiTlSb2 (PBE, relaxed)
# Density (g cm⁻³): 7.3
# DOS(E_F) (states/eV per cell): 2.3
# Excess energy over the best structure of this formula in the dataset (eV/atom): 0.024
data_LiTlSb2
_cell_length_a 3.2326
_cell_length_b 3.2326
_cell_length_c 9.8985
_cell_angle_alpha 90.00
_cell_angle_beta 90.00
_cell_angle_gamma 90.00
_space_group_name_H-M_alt 'P 1'
_space_group_IT_number 1
loop_
_space_group_symop_operation_xyz
'x,y,z'
loop_
_atom_site_label
_atom_site_type_symbol
_atom_site_fract_x
_atom_site_fract_y
_atom_site_fract_z
Li1 Li 0.0000 0.0000 0.0000
Tl1 Tl 0.0000 0.0000 0.5000
Sb1 Sb 0.5000 0.5000 0.2097
Sb2 Sb 0.5000 0.5000 0.7903


[10]
# Li4TlSb2 (PBE, relaxed)
# Density (g cm⁻³): 5.0
# DOS(E_F) (states/eV per cell): 3.4
# Excess energy over the best structure of this formula in the dataset (eV/atom): 0.155
data_Li4TlSb2
_cell_length_a 6.7892
_cell_length_b 6.7892
_cell_length_c 6.7892
_cell_angle_alpha 134.49
_cell_angle_beta 134.49
_cell_angle_gamma 66.33
_space_group_name_H-M_alt 'P 1'
_space_group_IT_number 1
loop_
_space_group_symop_operation_xyz
'x,y,z'
loop_
_atom_site_label
_atom_site_type_symbol
_atom_site_fract_x
_atom_site_fract_y
_atom_site_fract_z
Li1 Li 0.0000 0.5000 0.5000
Li2 Li 0.2500 0.7500 0.5000
Li3 Li 0.5000 0.0000 0.5000
Li4 Li 0.7500 0.2500 0.5000
Tl1 Tl 0.0000 0.0000 0.0000
Sb1 Sb 0.3701 0.3701 0.0000
Sb2 Sb 0.6299 0.6299 0.0000


[11]
# LiTl2Sb (PBE, relaxed)
# Density (g cm⁻³): 6.7
# DOS(E_F) (states/eV per cell): 0.0
# Excess energy over the best structure of this formula in the dataset (eV/atom): 0.121
data_LiTl2Sb
_cell_length_a 7.4672
_cell_length_b 7.4672
_cell_length_c 7.4672
_cell_angle_alpha 97.76
_cell_angle_beta 97.76
_cell_angle_gamma 136.88
_space_group_name_H-M_alt 'P 1'
_space_group_IT_number 1
loop_
_space_group_symop_operation_xyz
'x,y,z'
loop_
_atom_site_label
_atom_site_type_symbol
_atom_site_fract_x
_atom_site_fract_y
_atom_site_fract_z
Li1 Li 0.0000 0.0000 0.0000
Li2 Li 0.7500 0.2500 0.5000
Tl1 Tl 0.1972 0.6250 0.0722
Tl2 Tl 0.3750 0.4472 0.5722
Tl3 Tl 0.5528 0.1250 0.9278
Tl4 Tl 0.8750 0.8028 0.4278
Sb1 Sb 0.2500 0.7500 0.5000
Sb2 Sb 0.5000 0.5000 0.0000


[12]
# LiTlSb (PBE, relaxed)
# Density (g cm⁻³): 7.1
# DOS(E_F) (states/eV per cell): 0.7
# Excess energy over the best structure of this formula in the dataset (eV/atom): 0.068
data_LiTlSb
_cell_length_a 5.7271
_cell_length_b 5.7271
_cell_length_c 5.7271
_cell_angle_alpha 144.51
_cell_angle_beta 133.92
_cell_angle_gamma 59.48
_space_group_name_H-M_alt 'P 1'
_space_group_IT_number 1
loop_
_space_group_symop_operation_xyz
'x,y,z'
loop_
_atom_site_label
_atom_site_type_symbol
_atom_site_fract_x
_atom_site_fract_y
_atom_site_fract_z
Li1 Li 0.0000 0.0000 0.0000
Tl1 Tl 0.3088 0.3088 0.0000
Sb1 Sb 0.6339 0.6339 0.0000


[13]
# LiTlSb2 (PBE, relaxed)
# Density (g cm⁻³): 6.7
# DOS(E_F) (states/eV per cell): 1.4
# Excess energy over the best structure of this formula in the dataset (eV/atom): 0.110
data_LiTlSb2
_cell_length_a 4.5659
_cell_length_b 4.5659
_cell_length_c 6.5892
_cell_angle_alpha 112.92
_cell_angle_beta 112.92
_cell_angle_gamma 67.85
_space_group_name_H-M_alt 'P 1'
_space_group_IT_number 1
loop_
_space_group_symop_operation_xyz
'x,y,z'
loop_
_atom_site_label
_atom_site_type_symbol
_atom_site_fract_x
_atom_site_fract_y
_atom_site_fract_z
Li1 Li 0.0000 0.0000 0.0000
Tl1 Tl 0.5000 0.5000 0.5000
Sb1 Sb 0.2979 0.2979 0.8212
Sb2 Sb 0.7021 0.7021 0.1788


[14]
# LiTlSb2 (PBE, relaxed)
# Density (g cm⁻³): 6.6
# DOS(E_F) (states/eV per cell): 2.1
# Excess energy over the best structure of this formula in the dataset (eV/atom): 0.073
data_LiTlSb2
_cell_length_a 7.1318
_cell_length_b 7.1318
_cell_length_c 7.1318
_cell_angle_alpha 147.08
_cell_angle_beta 144.09
_cell_angle_gamma 49.50
_space_group_name_H-M_alt 'P 1'
_space_group_IT_number 1
loop_
_space_group_symop_operation_xyz
'x,y,z'
loop_
_atom_site_label
_atom_site_type_symbol
_atom_site_fract_x
_atom_site_fract_y
_atom_site_fract_z
Li1 Li 0.0000 0.0000 0.0000
Tl1 Tl 0.7268 0.2268 0.5000
Sb1 Sb 0.3493 0.8493 0.5000
Sb2 Sb 0.5158 0.5158 0.0000


[15]
# LiTl2Sb (PBE, relaxed)
# Density (g cm⁻³): 7.8
# DOS(E_F) (states/eV per cell): 0.9
# Excess energy over the best structure of this formula in the dataset (eV/atom): 0.041
data_LiTl2Sb
_cell_length_a 3.4327
_cell_length_b 4.5645
_cell_length_c 7.3097
_cell_angle_alpha 90.00
_cell_angle_beta 93.15
_cell_angle_gamma 90.00
_space_group_name_H-M_alt 'P 1'
_space_group_IT_number 1
loop_
_space_group_symop_operation_xyz
'x,y,z'
loop_
_atom_site_label
_atom_site_type_symbol
_atom_site_fract_x
_atom_site_fract_y
_atom_site_fract_z
Li1 Li 0.0000 0.0000 0.0000
Tl1 Tl 0.4881 0.0000 0.3834
Tl2 Tl 0.9943 0.5000 0.6700
Sb1 Sb 0.5146 0.5000 0.0526


[16]
# LiTlSb2 (PBE, relaxed)
# Density (g cm⁻³): 7.2
# DOS(E_F) (states/eV per cell): 3.8
# Excess energy over the best structure of this formula in the dataset (eV/atom): 0.136
data_LiTlSb2
_cell_length_a 10.5640
_cell_length_b 10.5640
_cell_length_c 10.5640
_cell_angle_alpha 18.65
_cell_angle_beta 18.65
_cell_angle_gamma 18.65
_space_group_name_H-M_alt 'P 1'
_space_group_IT_number 1
loop_
_space_group_symop_operation_xyz
'x,y,z'
loop_
_atom_site_label
_atom_site_type_symbol
_atom_site_fract_x
_atom_site_fract_y
_atom_site_fract_z
Li1 Li 0.0000 0.0000 0.0000
Tl1 Tl 0.5000 0.5000 0.5000
Sb1 Sb 0.2611 0.2611 0.2611
Sb2 Sb 0.7389 0.7389 0.7389


[17]
# LiTlSb2 (PBE, relaxed)
# Density (g cm⁻³): 7.1
# DOS(E_F) (states/eV per cell): 1.0
# Excess energy over the best structure of this formula in the dataset (eV/atom): 0.122
data_LiTlSb2
_cell_length_a 5.9459
_cell_length_b 5.9459
_cell_length_c 5.4172
_cell_angle_alpha 106.19
_cell_angle_beta 106.19
_cell_angle_gamma 35.50
_space_group_name_H-M_alt 'P 1'
_space_group_IT_number 1
loop_
_space_group_symop_operation_xyz
'x,y,z'
loop_
_atom_site_label
_atom_site_type_symbol
_atom_site_fract_x
_atom_site_fract_y
_atom_site_fract_z
Li1 Li 0.0000 0.0000 0.0000
Tl1 Tl 0.7578 0.7578 0.1872
Sb1 Sb 0.2703 0.2703 0.6908
Sb2 Sb 0.5307 0.5307 0.5434


[18]
# LiTlSb (PBE, relaxed)
# Density (g cm⁻³): 6.9
# DOS(E_F) (states/eV per cell): 2.3
# Excess energy over the best structure of this formula in the dataset (eV/atom): 0.016
data_LiTlSb
_cell_length_a 3.4365
_cell_length_b 4.9635
_cell_length_c 10.0370
_cell_angle_alpha 84.31
_cell_angle_beta 89.77
_cell_angle_gamma 69.78
_space_group_name_H-M_alt 'P 1'
_space_group_IT_number 1
loop_
_space_group_symop_operation_xyz
'x,y,z'
loop_
_atom_site_label
_atom_site_type_symbol
_atom_site_fract_x
_atom_site_fract_y
_atom_site_fract_z
Li1 Li 0.1312 0.2391 0.4351
Li2 Li 0.8688 0.7609 0.5649
Tl1 Tl 0.3438 0.8084 0.8715
Tl2 Tl 0.6562 0.1916 0.1285
Sb1 Sb 0.3993 0.7080 0.3275
Sb2 Sb 0.6007 0.2920 0.6725


[19]
# LiTl6Sb8 (PBE, relaxed)
# Density (g cm⁻³): 7.4
# DOS(E_F) (states/eV per cell): 4.5
# DFT total energy (eV per atom): -3.27
data_LiTl6Sb8
_cell_length_a 8.1931
_cell_length_b 8.1931
_cell_length_c 8.1931
_cell_angle_alpha 73.65
_cell_angle_beta 73.65
_cell_angle_gamma 73.65
_space_group_name_H-M_alt 'P 1'
_space_group_IT_number 1
loop_
_space_group_symop_operation_xyz
'x,y,z'
loop_
_atom_site_label
_atom_site_type_symbol
_atom_site_fract_x
_atom_site_fract_y
_atom_site_fract_z
Li1 Li 0.0000 0.0000 0.0000
Tl1 Tl 0.1829 0.4254 0.6443
Tl2 Tl 0.3557 0.8171 0.5746
Tl3 Tl 0.4254 0.6443 0.1829
Tl4 Tl 0.5746 0.3557 0.8171
Tl5 Tl 0.6443 0.1829 0.4254
Tl6 Tl 0.8171 0.5746 0.3557
Sb1 Sb 0.0156 0.8719 0.3941
Sb2 Sb 0.1281 0.6059 0.9844
Sb3 Sb 0.1678 0.1678 0.1678
Sb4 Sb 0.3941 0.0156 0.8719
Sb5 Sb 0.6059 0.9844 0.1281
Sb6 Sb 0.8322 0.8322 0.8322
Sb7 Sb 0.8719 0.3941 0.0156
Sb8 Sb 0.9844 0.1281 0.6059


[20]
# LiTl2Sb (PBE, relaxed)
# Density (g cm⁻³): 8.0
# DOS(E_F) (states/eV per cell): 0.7
# Excess energy over the best structure of this formula in the dataset (eV/atom): 0.064
data_LiTl2Sb
_cell_length_a 5.4006
_cell_length_b 5.4006
_cell_length_c 5.4006
_cell_angle_alpha 60.00
_cell_angle_beta 60.00
_cell_angle_gamma 60.00
_space_group_name_H-M_alt 'P 1'
_space_group_IT_number 1
loop_
_space_group_symop_operation_xyz
'x,y,z'
loop_
_atom_site_label
_atom_site_type_symbol
_atom_site_fract_x
_atom_site_fract_y
_atom_site_fract_z
Li1 Li 0.0000 0.0000 0.0000
Tl1 Tl 0.5000 0.5000 0.5000
Tl2 Tl 0.7500 0.7500 0.7500
Sb1 Sb 0.2500 0.2500 0.2500